Record 1
The following is a PBE calculation of a relaxed structure of EuScHgPd, from Alexandria.

The value obtained for the total energy is -96.17 eV per cell.

The space group is F-43m (No. 216) and the conventional cell measures 7.174, 7.174 and 7.174 Å, with angles of 90.00, 90.00 and 90.00 degrees. The distinct sites, in fractional coordinates, are Eu at (0.000, 0.000, 0.000), Sc at (0.000, 0.000, 0.500), Hg at (0.250, 0.250, 0.750) and Pd at (0.250, 0.250, 0.250).

***

Record 2
The following is a PBE calculation of a relaxed structure of DySc4Cd, from Alexandria.

The value obtained for the excess energy over the best structure of this formula in the dataset is 7 meV/atom.

The space group is C2/m (No. 12) and the conventional cell measures 11.076, 4.993 and 6.374 Å, with angles of 90.00, 121.75 and 90.00 degrees. The distinct sites, in fractional coordinates, are Dy at (0.000, 0.000, 0.000), Sc at (0.150, 0.500, 0.801), Sc at (0.196, 0.500, 0.337) and Cd at (0.000, 0.000, 0.500).

***

Please write out number 2 again, unchanged.
The following is a PBE calculation of a relaxed structure of DySc4Cd, from Alexandria.

The value obtained for the excess energy over the best structure of this formula in the dataset is 7 meV/atom.

The space group is C2/m (No. 12) and the conventional cell measures 11.076, 4.993 and 6.374 Å, with angles of 90.00, 121.75 and 90.00 degrees. The distinct sites, in fractional coordinates, are Dy at (0.000, 0.000, 0.000), Sc at (0.150, 0.500, 0.801), Sc at (0.196, 0.500, 0.337) and Cd at (0.000, 0.000, 0.500).

***

Copy entry 2 word for word.
The following is a PBE calculation of a relaxed structure of DySc4Cd, from Alexandria.

The value obtained for the excess energy over the best structure of this formula in the dataset is 7 meV/atom.

The space group is C2/m (No. 12) and the conventional cell measures 11.076, 4.993 and 6.374 Å, with angles of 90.00, 121.75 and 90.00 degrees. The distinct sites, in fractional coordinates, are Dy at (0.000, 0.000, 0.000), Sc at (0.150, 0.500, 0.801), Sc at (0.196, 0.500, 0.337) and Cd at (0.000, 0.000, 0.500).